Version a
Material: Sr3ZrN
Method: DFT, PBE
State: optimized geometry

a b c (Å): 6.021 6.021 6.021
angles (deg): 90.00 90.00 90.00
Fractional coordinates of all 5 atoms:
Sr (0.000, 0.000, 0.500)
Sr (0.000, 0.500, 0.000)
N (0.500, 0.500, 0.500)
Zr (0.000, 0.000, 0.000)
Sr (0.500, 0.000, 0.000)

---

Version b
Material: Sr3ZrN
Method: DFT, PBE
State: optimized geometry

a b c (Å): 5.359 5.359 5.359
angles (deg): 90.00 90.00 90.00
Fractional coordinates of all 5 atoms:
Sr (0.000, 0.000, 0.500)
Zr (0.500, 0.500, 0.500)
N (0.000, 0.000, 0.000)
Sr (0.000, 0.500, 0.000)
Sr (0.500, 0.000, 0.000)

---

Which of them is the most stable, and which is the least stable? version b and version a, in that order.

---

Version a
Material: Sr5Zr2N6
Method: DFT, PBE
State: optimized geometry

a b c (Å): 6.663 6.663 13.869
angles (deg): 77.90 77.90 65.12
Fractional coordinates of all 26 atoms:
Sr (0.690, 0.998, 0.723)
N (0.354, 0.360, 0.641)
N (0.428, 0.158, 0.410)
Zr (0.852, 0.695, 0.935)
Sr (0.310, 0.002, 0.277)
Sr (0.769, 0.277, 0.489)
Sr (0.277, 0.769, 0.989)
N (0.842, 0.572, 0.090)
Sr (0.231, 0.723, 0.511)
Zr (0.305, 0.148, 0.565)
N (0.640, 0.646, 0.859)
N (0.572, 0.842, 0.590)
Sr (0.723, 0.231, 0.011)
Zr (0.695, 0.852, 0.435)
N (0.971, 0.932, 0.380)
N (0.932, 0.971, 0.880)
N (0.360, 0.354, 0.141)
N (0.158, 0.428, 0.910)
N (0.068, 0.029, 0.120)
Sr (0.348, 0.652, 0.750)
Sr (0.002, 0.310, 0.777)
Sr (0.652, 0.348, 0.250)
N (0.646, 0.640, 0.359)
Sr (0.998, 0.690, 0.223)
Zr (0.148, 0.305, 0.065)
N (0.029, 0.068, 0.620)

---

Version b
Material: Sr5Zr2N6
Method: DFT, PBE
State: optimized geometry

a b c (Å): 3.685 11.677 12.562
angles (deg): 90.00 90.09 90.00
Fractional coordinates of all 26 atoms:
Zr (0.998, 0.239, 0.265)
N (0.499, 0.229, 0.178)
N (0.999, 0.618, 0.641)
Sr (0.432, 0.000, 0.500)
N (0.999, 0.882, 0.141)
Sr (0.494, 0.500, 0.270)
N (0.025, 0.606, 0.122)
Zr (0.003, 0.739, 0.235)
N (0.975, 0.894, 0.622)
Sr (0.507, 0.000, 0.770)
N (0.500, 0.771, 0.822)
N (0.001, 0.118, 0.859)
N (0.025, 0.394, 0.878)
Sr (0.507, 0.708, 0.522)
Zr (0.997, 0.761, 0.735)
N (0.975, 0.107, 0.378)
N (0.501, 0.729, 0.322)
Sr (0.494, 0.500, 0.730)
Sr (0.506, 0.000, 0.230)
Sr (0.566, 0.500, 0.000)
Sr (0.490, 0.792, 0.022)
N (0.001, 0.382, 0.359)
Sr (0.510, 0.292, 0.478)
Zr (0.003, 0.261, 0.765)
N (0.501, 0.271, 0.678)
Sr (0.493, 0.207, 0.978)

---

Which of them is the most stable, and which is the least stable? version a and version b, in that order.